No. 1
# Er6Tl2C, optimized geometry, DFT PBE
# E_form	-152.6	meV per atom
# calculated volume	458	Å³/cell
data_Er6Tl2C
_cell_length_a 3.557
_cell_length_b 14.936
_cell_length_c 8.626
_cell_angle_alpha 90.00
_cell_angle_beta 90.00
_cell_angle_gamma 90.00
_space_group_name_H-M_alt 'A m m 2'
_space_group_IT_number 38
_space_group_name_Hall 'A 2 -2'
loop_
_atom_site_label
_atom_site_fract_x
_atom_site_fract_y
_atom_site_fract_z
Er1 0.000 0.000 0.000
Er2 0.000 0.107 0.680
Er3 0.500 0.000 0.378
Er4 0.500 0.203 0.992
Tl1 0.000 0.167 0.288
C1 0.500 0.000 0.786

No. 2
# AcNd2Cu, optimized geometry, DFT PBE
# E_form	68.7	meV per atom
# distance to the lowest polymorph of the same formula	0.45	eV/f.u.
# calculated volume	401	Å³/cell
data_AcNd2Cu
_cell_length_a 3.9429
_cell_length_b 3.9429
_cell_length_c 29.8066
_cell_angle_alpha 90.00
_cell_angle_beta 90.00
_cell_angle_gamma 120.00
_space_group_name_H-M_alt 'R 3 m'
_space_group_IT_number 160
_space_group_name_Hall 'R 3 -2"'
loop_
_atom_site_label
_atom_site_fract_x
_atom_site_fract_y
_atom_site_fract_z
Ac1 0.0000 0.0000 0.0000
Nd1 0.0000 0.0000 0.5614
Nd2 0.0000 0.0000 0.7703
Cu1 0.0000 0.0000 0.1651

No. 3
# Mg2AlGe, optimized geometry, DFT PBE
# E_form	152.4	meV per atom
# calculated volume	343	Å³/cell
data_Mg2AlGe
_cell_length_a 4.265
_cell_length_b 4.265
_cell_length_c 18.843
_cell_angle_alpha 90.00
_cell_angle_beta 90.00
_cell_angle_gamma 90.00
_space_group_name_H-M_alt 'I -4 2 d'
_space_group_IT_number 122
_space_group_name_Hall 'I -4 2bw'
loop_
_atom_site_label
_atom_site_fract_x
_atom_site_fract_y
_atom_site_fract_z
Mg1 0.250 0.250 0.125
Al1 0.000 0.000 0.000
Ge1 0.000 0.000 0.500

No. 4
# Rb2Sn2PS2, optimized geometry, DFT PBE
# calculated volume	254	Å³/cell
# formation energy from raw total energies	-0.480	eV per atom
data_Rb2Sn2PS2
_cell_length_a 5.191
_cell_length_b 7.193
_cell_length_c 7.646
_cell_angle_alpha 107.76
_cell_angle_beta 109.78
_cell_angle_gamma 90.39
_space_group_name_H-M_alt 'P -1'
_space_group_IT_number 2
_space_group_name_Hall '-P 1'
loop_
_atom_site_label
_atom_site_fract_x
_atom_site_fract_y
_atom_site_fract_z
Rb1 0.117 0.297 0.230
Sn1 0.353 0.118 0.704
P1 0.500 0.000 0.000
S1 0.198 0.794 0.401

No. 5
# NbTc2Au2, optimized geometry, DFT PBE
# E_form	369.5	meV per atom
# distance to the lowest polymorph of the same formula	0.00	eV/f.u.
# calculated volume	175	Å³/cell
data_NbTc2Au2
_cell_length_a 6.679
_cell_length_b 6.679
_cell_length_c 3.924
_cell_angle_alpha 90.00
_cell_angle_beta 90.00
_cell_angle_gamma 90.00
_space_group_name_H-M_alt 'P 4/m b m'
_space_group_IT_number 127
_space_group_name_Hall '-P 4 2ab'
loop_
_atom_site_label
_atom_site_fract_x
_atom_site_fract_y
_atom_site_fract_z
Nb1 0.000 0.000 0.000
Tc1 0.128 0.372 0.000
Au1 0.173 0.673 0.500